A geometry-optimized Ce4FeSn8 structure. Source: Alexandria, functional PBE-GGA.

```
Ce4FeSn8
1.0
-2.7007 2.4733 2.5865
-3.1936 -0.0829 -3.2553
-6.3998 -13.9247 6.6329
Ce Fe Sn
4 1 8
direct
0.0000 0.0000 0.0965 Ce
0.0000 0.5000 0.6050 Ce
0.5000 0.5000 0.3938 Ce
0.5000 0.0000 0.9012 Ce
0.0000 0.0000 0.3048 Fe
0.0000 0.0000 0.4547 Sn
0.0000 0.5000 0.9337 Sn
0.5000 0.5000 0.0611 Sn
0.5000 0.0000 0.5745 Sn
0.0000 0.5000 0.2359 Sn
0.0000 0.0000 0.7526 Sn
0.5000 0.0000 0.2345 Sn
0.5000 0.5000 0.7547 Sn
```

Summary:
The formation energy from the elements is -0.487 eV/atom. The density of states at the Fermi level comes out at 23.4 states/eV/cell.